Entry 1:
A geometry-optimized IrC3 structure, computed with PBE.

Summary:
- Calculated formation energy: 2.109 eV/atom
- Crystal system: orthorhombic
- Relative energy among the computed polymorphs: 1.392 eV/atom

```
data_IrC3
_space_group_name_H-M_alt 'C m m m'
_space_group_IT_number 65
_space_group_name_Hall '-C 2 2'
_cell_length_a 2.461
_cell_length_b 6.164
_cell_length_c 5.570
_cell_angle_alpha 90.00
_cell_angle_beta 90.00
_cell_angle_gamma 90.00
loop_
_atom_site_label
_atom_site_type_symbol
_atom_site_fract_x
_atom_site_fract_y
_atom_site_fract_z
Ir1 Ir 0.000 0.000 0.000
C1 C 0.000 0.000 0.500
C2 C 0.000 0.500 0.316
```

Entry 2:
A geometry-optimized LiZr4Re structure, computed with PBE.

Summary:
- Calculated formation energy: 0.727 eV/atom
- Crystal system: cubic

```
data_LiZr4Re
_space_group_name_H-M_alt 'F -4 3 m'
_space_group_IT_number 216
_space_group_name_Hall 'F -4 2 3'
_cell_length_a 7.978
_cell_length_b 7.978
_cell_length_c 7.978
_cell_angle_alpha 90.00
_cell_angle_beta 90.00
_cell_angle_gamma 90.00
loop_
_atom_site_label
_atom_site_type_symbol
_atom_site_fract_x
_atom_site_fract_y
_atom_site_fract_z
Li1 Li 0.000 0.000 0.000
Zr1 Zr 0.123 0.123 0.377
Re1 Re 0.250 0.250 0.750
```

Entry 3:
A geometry-optimized Be2SiAs structure, computed with PBE.

Summary:
- Crystal system: tetragonal
- Relative energy among the computed polymorphs: 0.266 eV/atom

```
data_Be2SiAs
_space_group_name_H-M_alt 'P 4 m m'
_space_group_IT_number 99
_cell_length_a 2.553
_cell_length_b 2.553
_cell_length_c 8.435
_cell_angle_alpha 90.00
_cell_angle_beta 90.00
_cell_angle_gamma 90.00
loop_
_space_group_symop_operation_xyz
'x,y,z'
'-y,x,z'
'-x,-y,z'
'y,-x,z'
'-x,y,z'
'y,x,z'
'x,-y,z'
'-y,-x,z'
loop_
_atom_site_label
_atom_site_type_symbol
_atom_site_fract_x
_atom_site_fract_y
_atom_site_fract_z
Be1 Be 0.000 0.000 0.000
Be2 Be 0.500 0.500 0.168
Si1 Si 0.000 0.000 0.395
As1 As 0.500 0.500 0.764
```